This record from the Alexandria database describes an optimized crystal structure of MoRu2Pb. The functional is PBE-GGA.

Output
- Fermi-level density of states (states/eV per cell) = 18.04
- total magnetization (Bohr magnetons per cell) = 6.60
- energy of formation from the pure elements (eV/atom) = 0.633
- density (g/cm³) = 12.51

a b c (Å): 6.449 6.449 6.449
angles (deg): 90.00 90.00 90.00
Space group F-43m (No. 216)
One atom of each set of equivalent atoms:
Mo1 0.000 0.000 0.000 [4 per cell]
Ru1 0.000 0.000 0.500 [4 per cell]
Ru2 0.250 0.250 0.750 [4 per cell]
Pb1 0.250 0.250 0.250 [4 per cell]

This record from the Alexandria database describes an optimized crystal structure of MoRu3Pb. The functional is PBE-GGA.

Output
- Fermi-level density of states (states/eV per cell) = 6.73
- total magnetization (Bohr magnetons per cell) = 0.00
- energy of formation from the pure elements (eV/atom) = 1.339
- density (g/cm³) = 9.66

a b c (Å): 4.706 4.706 4.706
angles (deg): 90.00 90.00 90.00
Space group Pm-3m (No. 221)
One atom of each set of equivalent atoms:
Mo1 0.000 0.000 0.000 [1 per cell]
Ru1 0.000 0.000 0.500 [3 per cell]
Pb1 0.500 0.500 0.500 [1 per cell]

This record from the Alexandria database describes an optimized crystal structure of Mo2RuPb. The functional is PBE-GGA.

Output
- Fermi-level density of states (states/eV per cell) = 5.33
- total magnetization (Bohr magnetons per cell) = 0.00
- energy of formation from the pure elements (eV/atom) = 0.775
- density (g/cm³) = 12.03

a b c (Å): 4.764 4.764 3.041
angles (deg): 90.00 90.00 90.00
Space group P4/mmm (No. 123)
One atom of each set of equivalent atoms:
Mo1 0.000 0.500 0.000 [2 per cell]
Ru1 0.000 0.000 0.500 [1 per cell]
Pb1 0.500 0.500 0.500 [1 per cell]

This record from the Alexandria database describes an optimized crystal structure of MoRu3Pb. The functional is PBE-GGA.

Output
- Fermi-level density of states (states/eV per cell) = 21.24
- total magnetization (Bohr magnetons per cell) = 0.00
- energy of formation from the pure elements (eV/atom) = 2.645
- density (g/cm³) = 9.03

a b c (Å): 4.813 4.813 4.813
angles (deg): 90.00 90.00 90.00
Space group Pm-3m (No. 221)
One atom of each set of equivalent atoms:
Mo1 0.000 0.000 0.000 [1 per cell]
Ru1 0.000 0.500 0.500 [3 per cell]
Pb1 0.500 0.500 0.500 [1 per cell]

This record from the Alexandria database describes an optimized crystal structure of MoRu2Pb. The functional is PBE-GGA.

Output
- Fermi-level density of states (states/eV per cell) = 9.22
- total magnetization (Bohr magnetons per cell) = 0.00
- energy of formation from the pure elements (eV/atom) = 0.480
- density (g/cm³) = 12.73

a b c (Å): 3.893 3.893 8.700
angles (deg): 90.00 90.00 90.00
Space group I-4m2 (No. 119)
One atom of each set of equivalent atoms:
Mo1 0.000 0.000 0.000 [2 per cell]
Ru1 0.000 0.000 0.500 [2 per cell]
Ru2 0.000 0.500 0.750 [2 per cell]
Pb1 0.000 0.500 0.250 [2 per cell]

This record from the Alexandria database describes an optimized crystal structure of Mo3RuPb. The functional is PBE-GGA.

Output
- Fermi-level density of states (states/eV per cell) = 6.36
- total magnetization (Bohr magnetons per cell) = 1.84
- energy of formation from the pure elements (eV/atom) = 1.450
- density (g/cm³) = 9.20

a b c (Å): 4.757 4.757 4.757
angles (deg): 90.00 90.00 90.00
Space group Pm-3m (No. 221)
One atom of each set of equivalent atoms:
Mo1 0.000 0.000 0.500 [3 per cell]
Ru1 0.000 0.000 0.000 [1 per cell]
Pb1 0.500 0.500 0.500 [1 per cell]

This record from the Alexandria database describes an optimized crystal structure of MoRu2Pb. The functional is PBE-GGA.

Output
- Fermi-level density of states (states/eV per cell) = 4.20
- total magnetization (Bohr magnetons per cell) = 0.00
- energy of formation from the pure elements (eV/atom) = 0.381
- density (g/cm³) = 12.42

a b c (Å): 2.972 3.650 6.229
angles (deg): 90.00 90.00 90.00
Space group Pmmm (No. 47)
One atom of each set of equivalent atoms:
Mo1 0.000 0.000 0.000 [1 per cell]
Ru1 0.500 0.500 0.220 [2 per cell]
Pb1 0.000 0.000 0.500 [1 per cell]

This record from the Alexandria database describes an optimized crystal structure of Mo2RuPb. The functional is PBE-GGA.

Output
- Fermi-level density of states (states/eV per cell) = 6.58
- total magnetization (Bohr magnetons per cell) = 0.00
- energy of formation from the pure elements (eV/atom) = 0.451
- density (g/cm³) = 12.00

a b c (Å): 9.757 3.120 4.686
angles (deg): 90.00 103.97 90.00
Space group C2/m (No. 12)
One atom of each set of equivalent atoms:
Mo1 0.241 0.000 0.213 [4 per cell]
Ru1 0.000 0.500 0.000 [2 per cell]
Pb1 0.000 0.000 0.500 [2 per cell]

This record from the Alexandria database describes an optimized crystal structure of MoRuPb2. The functional is PBE-GGA.

Output
- Fermi-level density of states (states/eV per cell) = 15.28
- total magnetization (Bohr magnetons per cell) = 6.58
- energy of formation from the pure elements (eV/atom) = 0.868
- density (g/cm³) = 12.36

a b c (Å): 6.900 6.900 6.900
angles (deg): 90.00 90.00 90.00
Space group F-43m (No. 216)
One atom of each set of equivalent atoms:
Mo1 0.000 0.000 0.000 [4 per cell]
Ru1 0.250 0.250 0.750 [4 per cell]
Pb1 0.000 0.000 0.500 [4 per cell]
Pb2 0.250 0.250 0.250 [4 per cell]

This record from the Alexandria database describes an optimized crystal structure of MoRuPb2. The functional is PBE-GGA.

Output
- Fermi-level density of states (states/eV per cell) = 4.10
- total magnetization (Bohr magnetons per cell) = 1.16
- energy of formation from the pure elements (eV/atom) = 0.842
- density (g/cm³) = 12.46

a b c (Å): 3.374 4.464 5.412
angles (deg): 90.00 90.00 90.00
Space group Pmmm (No. 47)
One atom of each set of equivalent atoms:
Mo1 0.000 0.000 0.000 [1 per cell]
Ru1 0.500 0.000 0.500 [1 per cell]
Pb1 0.000 0.500 0.500 [1 per cell]
Pb2 0.500 0.500 0.000 [1 per cell]

This record from the Alexandria database describes an optimized crystal structure of MoRuPb2. The functional is PBE-GGA.

Output
- Fermi-level density of states (states/eV per cell) = 17.78
- total magnetization (Bohr magnetons per cell) = 1.06
- energy of formation from the pure elements (eV/atom) = 0.760
- density (g/cm³) = 12.78

a b c (Å): 3.2485 3.2485 26.0749
angles (deg): 90.00 90.00 120.00
Space group R-3m (No. 166, hexagonal axes)
One atom of each set of equivalent atoms:
Mo1 0.0000 0.0000 0.0000 [3 per cell]
Ru1 0.0000 0.0000 0.5000 [3 per cell]
Pb1 0.0000 0.0000 0.2467 [6 per cell]

This record from the Alexandria database describes an optimized crystal structure of MoRu2Pb. The functional is PBE-GGA.

Output
- Fermi-level density of states (states/eV per cell) = 14.20
- total magnetization (Bohr magnetons per cell) = 0.08
- energy of formation from the pure elements (eV/atom) = 0.454
- density (g/cm³) = 12.06

a b c (Å): 3.0153 3.0153 26.5071
angles (deg): 90.00 90.00 120.00
Space group R-3m (No. 166, hexagonal axes)
One atom of each set of equivalent atoms:
Mo1 0.0000 0.0000 0.0000 [3 per cell]
Ru1 0.0000 0.0000 0.2589 [6 per cell]
Pb1 0.0000 0.0000 0.5000 [3 per cell]

Fermi-level density of states of number 6 (Mo3RuPb)? 6.36 states/eV per cell

Look up the energy of formation from the pure elements of the fifth one. 0.480 eV/atom

Please write out number 11 again, unchanged.
This record from the Alexandria database describes an optimized crystal structure of MoRuPb2. The functional is PBE-GGA.

Output
- Fermi-level density of states (states/eV per cell) = 17.78
- total magnetization (Bohr magnetons per cell) = 1.06
- energy of formation from the pure elements (eV/atom) = 0.760
- density (g/cm³) = 12.78

a b c (Å): 3.2485 3.2485 26.0749
angles (deg): 90.00 90.00 120.00
Space group R-3m (No. 166, hexagonal axes)
One atom of each set of equivalent atoms:
Mo1 0.0000 0.0000 0.0000 [3 per cell]
Ru1 0.0000 0.0000 0.5000 [3 per cell]
Pb1 0.0000 0.0000 0.2467 [6 per cell]

Look up the density of the eighth one. 12.00 g/cm³